Entry from Alexandria via LeMat-Bulk: a relaxed Pa6BSe12 crystal (PBE-GGA).

Output
- calculated density (kg/m3) = 7798
- total magnetic moment (μB per atom) = 0.37
- VASP energy (eV/atom) = -6.590
- N(E_F) (states/eV per cell) = 30.26

Lattice parameters (Å, degrees): 8.0845 8.0845 8.0845 100.30 100.30 100.30
Last column: magnetic moment on the atom in μB.
Element x y z (fractional)
Se (0.0614, 0.9670, 0.3011)  -0.04
Pa (0.2893, 0.1259, 0.6285)  1.06
Se (0.5694, 0.4301, 0.8210)  -0.04
Pa (0.7107, 0.8741, 0.3715)  1.06
Se (0.1790, 0.4306, 0.5699)  -0.04
Se (0.8210, 0.5694, 0.4301)  -0.04
Se (0.5699, 0.1790, 0.4306)  -0.04
Se (0.4306, 0.5699, 0.1790)  -0.04
Se (0.9670, 0.3011, 0.0614)  -0.04
Se (0.6989, 0.9386, 0.0330)  -0.04
Se (0.4301, 0.8210, 0.5694)  -0.04
Pa (0.6285, 0.2893, 0.1259)  1.06
Pa (0.1259, 0.6285, 0.2893)  1.06
Pa (0.8741, 0.3715, 0.7107)  1.06
Se (0.3011, 0.0614, 0.9670)  -0.04
Pa (0.3715, 0.7107, 0.8741)  1.06
Se (0.0330, 0.6989, 0.9386)  -0.04
B (0.0000, 0.0000, 0.0000)  0.00
Se (0.9386, 0.0330, 0.6989)  -0.04

***

Entry from Alexandria via LeMat-Bulk: a relaxed PrSm8Th4 crystal (PBE-GGA).

Output
- formation energy (meV per atom) = 569
- calculated density (kg/m3) = 7679
- total magnetic moment (μB per atom) = 0.00
- N(E_F) (states/eV per cell) = 20.05

Lattice parameters (Å, degrees): 10.9669 10.9669 7.8953 90.00 133.99 120.00
Element x y z (fractional)
Sm (0.9769, 0.2228, 0.7310)
Sm (0.4800, 0.2400, 0.7200)
Sm (0.0231, 0.2459, 0.2691)
Th (0.5000, 0.0000, 0.0000)
Pr (0.0000, 0.5000, 0.5000)
Th (0.5000, 0.5000, 0.0000)
Sm (0.5082, 0.7541, 0.7310)
Sm (0.4918, 0.2459, 0.2690)
Sm (0.0231, 0.7772, 0.2690)
Sm (0.9769, 0.7541, 0.7309)
Sm (0.5200, 0.7600, 0.2800)
Th (0.0000, 0.0000, 0.0000)
Th (0.0000, 0.5000, 0.0000)

***

Entry from Alexandria via LeMat-Bulk: a relaxed CsCdIn2Sn crystal (PBE-GGA).

Output
- formation energy (meV per atom) = -107
- calculated density (kg/m3) = 5907
- total magnetic moment (μB per atom) = 0.00
- N(E_F) (states/eV per cell) = 2.33

Lattice parameters (Å, degrees): 5.1203 5.1203 7.3234 110.46 110.46 90.00
Element x y z (fractional)
In (0.6188, 0.6188, 0.2377)
Cs (0.0000, 0.0000, 0.0000)
In (0.3812, 0.3812, 0.7623)
Cd (0.2500, 0.7500, 0.5000)
Sn (0.7500, 0.2500, 0.5000)

***

Entry from Alexandria via LeMat-Bulk: a relaxed BaAl4Sb2O12 crystal (PBE-GGA).

Output
- calculated density (kg/m3) = 5095
- total magnetic moment (μB per atom) = 0.00
- VASP energy (eV/atom) = -6.950
- N(E_F) (states/eV per cell) = 0.00

Lattice parameters (Å, degrees): 8.3474 8.3474 8.3474 106.45 106.45 115.69
Element x y z (fractional)
O (0.5056, 0.1367, 0.2928)
O (0.8506, 0.2003, 0.0509)
Al (0.5003, 0.6846, 0.5159)
Al (0.6846, 0.1688, 0.1843)
O (0.1494, 0.7997, 0.9491)
Sb (0.6496, 0.1628, 0.8125)
O (0.7872, 0.4944, 0.6310)
Al (0.8312, 0.0156, 0.5159)
O (0.8714, 0.8252, 0.3587)
O (0.4665, 0.5127, 0.6413)
O (0.4873, 0.1286, 0.9538)
O (0.2003, 0.1494, 0.3496)
O (0.5127, 0.8714, 0.0462)
Al (0.9844, 0.5003, 0.8157)
O (0.8252, 0.4665, 0.9538)
O (0.1562, 0.7872, 0.2928)
Ba (0.2177, 0.2177, 0.0000)
O (0.4944, 0.8633, 0.7072)
Sb (0.8372, 0.6496, 0.4868)
Sb (0.3504, 0.8372, 0.1875)
O (0.7997, 0.8506, 0.6504)
O (0.2128, 0.5056, 0.3690)
Al (0.0156, 0.4997, 0.1843)
O (0.5480, 0.8414, 0.3894)
O (0.8414, 0.4520, 0.2934)
O (0.1286, 0.1748, 0.6413)
Ba (0.7823, 0.7823, 0.0000)
O (0.5335, 0.4873, 0.3587)
O (0.1586, 0.5480, 0.7066)
O (0.1367, 0.8438, 0.6310)
Al (0.1688, 0.9844, 0.4841)
Sb (0.1628, 0.3504, 0.5132)
O (0.8438, 0.2128, 0.7072)
O (0.8633, 0.1562, 0.3690)
Al (0.3154, 0.8312, 0.8157)
O (0.4520, 0.1586, 0.6106)
Al (0.4997, 0.3154, 0.4841)
O (0.1748, 0.5335, 0.0462)

***

Entry from Alexandria via LeMat-Bulk: a relaxed YPuCd crystal (PBE-GGA).

Output
- formation energy (meV per atom) = -17
- calculated density (kg/m3) = 8908
- polymorph energy (0 for the lowest one) (meV/atom) = 0
- total magnetic moment (μB per atom) = 2.12
- N(E_F) (states/eV per cell) = 7.71

Lattice parameters (Å, degrees): 3.4572 3.4572 7.3634 103.58 103.58 90.00
Last column: magnetic moment on the atom in μB.
Element x y z (fractional)
Y (0.3235, 0.3235, 0.6470)  0.13
Pu (0.0072, 0.0072, 0.0143)  5.61
Cd (0.6693, 0.6693, 0.3387)  0.00

***

Entry from Alexandria via LeMat-Bulk: a relaxed Th2AlMo crystal (PBE-GGA).

Output
- formation energy (meV per atom) = 583
- calculated density (kg/m3) = 9770
- total magnetic moment (μB per atom) = 0.00
- N(E_F) (states/eV per cell) = 4.95

Lattice parameters (Å, degrees): 3.2691 3.2691 10.9434 81.41 81.41 60.00
Element x y z (fractional)
Th (0.9149, 0.9149, 0.2554)
Al (0.5000, 0.5000, 0.5000)
Mo (0.0000, 0.0000, 0.0000)
Th (0.0851, 0.0851, 0.7446)

***

Entry from Alexandria via LeMat-Bulk: a relaxed KTm3Ag2Se6 crystal (PBE-GGA).

Output
- calculated density (kg/m3) = 6495
- total magnetic moment (μB per atom) = 0.00
- VASP energy (eV/atom) = -4.761
- N(E_F) (states/eV per cell) = 0.00

Lattice parameters (Å, degrees): 4.0866 8.1605 10.1783 107.83 101.58 90.00
Element x y z (fractional)
Se (0.0254, 0.7415, 0.0509)
Tm (0.5000, 0.5000, 0.0000)
Ag (0.2030, 0.3503, 0.4059)
Tm (0.8278, 0.1814, 0.6556)
Se (0.6791, 0.0750, 0.3583)
Se (0.6522, 0.5547, 0.3043)
Se (0.3478, 0.4453, 0.6957)
Tm (0.1722, 0.8186, 0.3444)
Se (0.3209, 0.9250, 0.6417)
K (0.5000, 0.0000, 0.0000)
Ag (0.7970, 0.6497, 0.5941)
Se (0.9746, 0.2585, 0.9491)

***

Entry from Alexandria via LeMat-Bulk: a relaxed Li2ZrHg crystal (PBE-GGA).

Output
- formation energy (meV per atom) = 13
- calculated density (kg/m3) = 6513
- total magnetic moment (μB per atom) = 0.00
- N(E_F) (states/eV per cell) = 3.47

Lattice parameters (Å, degrees): 2.9994 2.9994 8.6636 90.00 90.00 90.00
Element x y z (fractional)
Li (0.0000, 0.0000, 0.9685)
Li (0.0000, 0.0000, 0.5315)
Hg (0.5000, 0.5000, 0.7500)
Zr (0.5000, 0.5000, 0.2500)

***

Entry from Alexandria via LeMat-Bulk: a relaxed ScTeI2O crystal (PBE-GGA).

Output
- calculated density (kg/m3) = 5218
- polymorph energy (0 for the lowest one) (meV/atom) = 0
- total magnetic moment (μB per atom) = 0.00
- N(E_F) (states/eV per cell) = 2.44

Lattice parameters (Å, degrees): 6.0379 6.0379 3.8616 90.00 90.00 90.00
Element x y z (fractional)
Sc (0.0000, 0.0000, 0.0000)
I (0.5000, 0.0000, 0.0000)
I (0.0000, 0.5000, 0.0000)
Te (0.5000, 0.5000, 0.5000)
O (0.0000, 0.0000, 0.5000)

***

Entry from Alexandria via LeMat-Bulk: a relaxed ZnNiSe4 crystal (PBE-GGA).

Output
- calculated density (kg/m3) = 5770
- total magnetic moment (μB per atom) = 0.13
- VASP energy (eV/atom) = -2.702
- N(E_F) (states/eV per cell) = 7.82

Lattice parameters (Å, degrees): 5.6365 5.6365 5.6365 60.00 60.00 60.00
Last column: magnetic moment on the atom in μB.
Element x y z (fractional)
Zn (0.7500, 0.7500, 0.7500)  -0.02
Se (0.8747, 0.3751, 0.3751)  0.04
Ni (0.0000, 0.0000, 0.0000)  0.66
Se (0.3751, 0.8747, 0.3751)  0.04
Se (0.3751, 0.3751, 0.3751)  0.04
Se (0.3751, 0.3751, 0.8747)  0.04

***

Entry from Alexandria via LeMat-Bulk: a relaxed CaZrSnH2 crystal (PBE-GGA).

Output
- calculated density (kg/m3) = 3717
- total magnetic moment (μB per atom) = 0.16
- VASP energy (eV/atom) = -3.852
- N(E_F) (states/eV per cell) = 3.31

Lattice parameters (Å, degrees): 4.1485 6.5423 4.1485 90.00 90.00 90.00
Last column: magnetic moment on the atom in μB.
Element x y z (fractional)
Sn (0.5000, 0.5000, 0.5000)  -0.11
H (0.5000, 0.0000, 0.0000)  -0.01
Ca (0.0000, 0.5000, 0.0000)  0.05
Zr (0.0000, 0.0000, 0.0000)  0.57
H (0.0000, 0.0000, 0.5000)  -0.01

***

Entry from Alexandria via LeMat-Bulk: a relaxed TcTe2MoPd crystal (PBE-GGA).

Output
- calculated density (kg/m3) = 6952
- total magnetic moment (μB per atom) = 1.28
- VASP energy (eV/atom) = -4.981
- N(E_F) (states/eV per cell) = 4.64

Lattice parameters (Å, degrees): 5.2022 4.9036 5.2022 90.00 90.00 90.00
Last column: magnetic moment on the atom in μB.
Element x y z (fractional)
Tc (0.5000, 0.5000, 0.5000)  3.16
Mo (0.0000, 0.5000, 0.0000)  2.46
Te (0.5000, 0.0000, 0.0000)  -0.12
Pd (0.0000, 0.0000, 0.0000)  0.07
Te (0.0000, 0.0000, 0.5000)  -0.10